1.
The following is a DFT calculation (PBE) of a relaxed structure of Tl2AsAuBr6.

The value obtained for the formation energy from raw total energies is -0.5321 eV per atom. The spin magnetization is 0.000 μB/f.u. The raw total energy is -2.80 eV/atom.

It has space group P1 (No. 1), with a = 7.7383 Å, b = 7.8857 Å, c = 7.9621 Å, α = 117.93°, β = 118.72° and γ = 91.74°. The asymmetric unit holds Tl at (0.0000, 0.0000, 0.0000), Tl at (0.4318, 0.5077, 0.8230), As at (0.6843, 0.2465, 0.4032), Au at (0.9471, 0.7013, 0.1590), Br at (0.0224, 0.4481, 0.9006), Br at (0.4306, 0.0791, 0.4621), Br at (0.4391, 0.0300, 0.9759), Br at (0.5532, 0.5406, 0.4671), Br at (0.8886, 0.9409, 0.4423) and Br at (0.9752, 0.4021, 0.3731).

2.
The following is a DFT calculation (PBE) of a relaxed structure of TlAsAuBr2.

The value obtained for the formation energy from raw total energies is 0.6205 eV per atom. The calculation puts the energy above the most stable polymorph in this dataset at 0.582 eV per atom. The spin magnetization is 1.579 μB/f.u. The raw total energy is -2.11 eV/atom.

It has space group P4/mmm (No. 123), with a = 5.6366 Å, b = 5.6366 Å, c = 5.5493 Å, α = 90.00°, β = 90.00° and γ = 90.00°. The asymmetric unit holds Tl at (0.0000, 0.0000, 0.0000), As at (0.0000, 0.0000, 0.5000), Au at (0.5000, 0.5000, 0.5000) and Br at (0.0000, 0.5000, 0.0000).

3.
The following is a DFT calculation (PBE) of a relaxed structure of TlAsAuBr2.

The value obtained for the formation energy from raw total energies is 0.0389 eV per atom. The calculation puts the energy above the most stable polymorph in this dataset at 0.000 eV per atom. The spin magnetization is 1.774 μB/f.u. The raw total energy is -2.69 eV/atom.

It has space group P4/mmm (No. 123), with a = 5.6137 Å, b = 5.6137 Å, c = 5.0007 Å, α = 90.00°, β = 90.00° and γ = 90.00°. The asymmetric unit holds Tl at (0.0000, 0.0000, 0.0000), As at (0.5000, 0.5000, 0.0000), Au at (0.5000, 0.5000, 0.5000) and Br at (0.0000, 0.5000, 0.5000).